(1)
Material: GaRe2Si
Method: DFT, PBE
State: optimized geometry

```
4
Lattice="-4.275 -0.260 -0.178 -2.407 2.572 2.442 -2.266 3.161 -1.802" Properties=species:S:1:pos:R:3 pbc="T T T"
Re -6.712 4.105 0.346
Re -2.237 1.368 0.115
Si 0.000 0.000 0.000
Ga -4.474 2.737 0.231
```

**Symmetry**: Fm-3m (225)
**E_form (uncorrected)**: 94 meV per atom
**E above lowest polymorph**: 0.0 meV per atom
**DOS at the Fermi energy**: 3.18 states/eV/f.u.

=====

(2)
Material: GaReSi3
Method: DFT, PBE
State: optimized geometry

```
5
Lattice="4.714 0.000 0.000 0.000 4.714 0.000 0.000 0.000 4.714" Properties=species:S:1:pos:R:3 pbc="T T T"
Si 0.000 2.357 0.000
Si 2.357 0.000 0.000
Si 0.000 0.000 2.357
Re 0.000 0.000 0.000
Ga 2.357 2.357 2.357
```

**Symmetry**: Pm-3m (221)
**E_form (uncorrected)**: 497 meV per atom
**E above lowest polymorph**: 0.0 meV per atom
**DOS at the Fermi energy**: 3.89 states/eV/f.u.

=====

(3)
Material: Ga3ReSi
Method: DFT, PBE
State: optimized geometry

```
5
Lattice="-2.107 -2.976 -2.975 2.779 -3.482 1.516 -3.160 -1.078 3.317" Properties=species:S:1:pos:R:3 pbc="T T T"
Ga -1.053 -1.488 -1.487
Ga -1.580 -0.539 1.658
Ga 1.390 -1.741 0.758
Re -1.244 -3.768 0.929
Si 0.000 0.000 0.000
```

**Symmetry**: Pm-3m (221)
**E_form (uncorrected)**: 1269 meV per atom
**E above lowest polymorph**: 558.0 meV per atom
**DOS at the Fermi energy**: 3.61 states/eV/f.u.

=====

(4)
Material: Ga3ReSi
Method: DFT, PBE
State: optimized geometry

```
5
Lattice="-1.128 -4.043 -2.416 -0.595 -2.342 4.197 -4.672 1.275 0.048" Properties=species:S:1:pos:R:3 pbc="T T T"
Ga -0.564 -2.022 -1.208
Ga -0.298 -1.171 2.099
Ga -2.336 0.637 0.024
Si -3.198 -2.555 0.915
Re 0.000 0.000 0.000
```

**Symmetry**: Pm-3m (221)
**E_form (uncorrected)**: 711 meV per atom
**E above lowest polymorph**: 0.0 meV per atom
**DOS at the Fermi energy**: 3.95 states/eV/f.u.

=====

(5)
Material: GaRe2Si
Method: DFT, PBE
State: optimized geometry

```
8
Lattice="7.321 0.000 0.000 0.000 7.321 0.000 3.661 3.661 2.455" Properties=species:S:1:pos:R:3 pbc="T T T"
Re 9.152 8.649 1.841
Re 2.333 5.491 0.614
Re 4.988 1.830 0.614
Re 5.491 5.993 1.841
Si 3.661 7.321 1.227
Si 3.661 3.661 0.000
Ga 0.000 0.000 0.000
Ga 7.321 3.661 1.227
```

**Symmetry**: I-42d (122)
**E_form (uncorrected)**: 584 meV per atom
**E above lowest polymorph**: 490.1 meV per atom
**DOS at the Fermi energy**: 3.94 states/eV/f.u.

=====

(6)
Material: GaReSi
Method: DFT, PBE
State: optimized geometry

```
6
Lattice="-0.673 -2.707 1.540 2.264 -3.693 -2.207 5.775 -1.693 2.842" Properties=species:S:1:pos:R:3 pbc="T T T"
Si 3.123 -2.087 0.991
Si 4.244 -6.006 1.184
Re 0.930 -3.264 1.260
Re 6.436 -4.829 0.915
Ga 4.988 -3.565 2.503
Ga 2.379 -4.528 -0.328
```

**Symmetry**: C2/m (12)
**E_form (uncorrected)**: -106 meV per atom
**E above lowest polymorph**: 0.0 meV per atom
**DOS at the Fermi energy**: 0.86 states/eV/f.u.

=====

(7)
Material: GaReSi2
Method: DFT, PBE
State: optimized geometry

```
8
Lattice="-0.523 -5.380 -1.904 -1.899 -1.639 5.152 -6.251 -2.478 0.095" Properties=species:S:1:pos:R:3 pbc="T T T"
Si -5.549 -4.449 1.162
Si -6.855 -8.040 3.042
Si -2.802 -2.182 3.053
Si -2.140 -4.320 -0.569
Ga -1.211 -3.509 1.624
Ga -4.680 -3.813 3.436
Re -3.993 -5.683 -0.092
Re 0.000 0.000 0.000
```

**Symmetry**: I-42d (122)
**E_form (uncorrected)**: 671 meV per atom
**DOS at the Fermi energy**: 3.33 states/eV/f.u.

=====

(8)
Material: GaRe2Si
Method: DFT, PBE
State: optimized geometry

```
4
Lattice="2.815 0.000 0.000 1.407 2.438 0.000 1.407 0.813 9.094" Properties=species:S:1:pos:R:3 pbc="T T T"
Si 2.815 1.625 4.547
Ga 0.000 0.000 0.000
Re 4.222 2.438 2.602
Re 1.407 0.813 6.492
```

**Symmetry**: R-3m (166)
**E_form (uncorrected)**: 314 meV per atom
**E above lowest polymorph**: 220.3 meV per atom
**DOS at the Fermi energy**: 3.42 states/eV/f.u.

=====

(9)
Material: GaRe2Si
Method: DFT, PBE
State: optimized geometry

```
4
Lattice="-1.086 -2.246 3.394 0.483 -4.184 0.000 3.572 -1.708 2.627" Properties=species:S:1:pos:R:3 pbc="T T T"
Ga 1.616 -4.054 3.062
Re 0.525 -2.060 1.419
Re 2.894 -1.786 2.358
Si 2.990 -6.015 4.818
```

**Symmetry**: R3m (160)
**E_form (uncorrected)**: 184 meV per atom
**E above lowest polymorph**: 89.4 meV per atom
**DOS at the Fermi energy**: 2.20 states/eV/f.u.

=====

(10)
Material: Sm4Ga12Re
Method: DFT, PBE
State: optimized geometry

```
17
Lattice="7.135 0.000 -2.523 -3.568 6.179 -2.523 0.000 0.000 7.568" Properties=species:S:1:pos:R:3 pbc="T T T"
Re 0.000 0.000 0.000
Ga -1.038 1.798 1.468
Ga 4.459 1.545 1.261
Ga 2.529 4.381 -3.577
Ga -2.529 4.381 3.577
Ga 0.892 4.634 -1.261
Ga -0.892 4.634 1.261
Ga 2.077 0.000 1.468
Ga 1.038 1.798 -1.468
Ga 0.000 3.090 3.784
Ga 2.676 1.545 3.784
Ga 5.058 0.000 3.577
Ga 3.568 3.090 -1.261
Sm 0.000 0.000 3.784
Sm 1.784 3.090 1.261
Sm 3.568 0.000 -1.261
Sm -1.784 3.090 -1.261
```

**VASP energy**: -76.51 eV for the cell shown
**Symmetry**: Im-3m (229)
**DOS at the Fermi energy**: 9.75 states/eV/f.u.

=====

(11)
Material: GaReSn3
Method: DFT, PBE
State: optimized geometry

```
5
Lattice="-3.650 3.501 -1.184 -3.640 -3.693 0.300 -0.640 1.040 5.048" Properties=species:S:1:pos:R:3 pbc="T T T"
Sn -0.320 0.520 2.524
Sn -1.820 -1.847 0.150
Sn -1.825 1.750 -0.592
Ga 0.000 0.000 0.000
Re -3.965 0.424 2.082
```

**Symmetry**: Pm-3m (221)
**E above lowest polymorph**: 972.2 meV per atom
**DOS at the Fermi energy**: 3.85 states/eV/f.u.

=====

(12)
Material: Ga2ReSn
Method: DFT, PBE
State: optimized geometry

```
8
Lattice="-3.230 0.128 -2.533 -1.638 -3.236 1.926 -6.775 4.109 5.517" Properties=species:S:1:pos:R:3 pbc="T T T"
Re 0.000 0.000 0.000
Re -6.219 1.341 1.340
Ga -4.087 0.709 -0.096
Ga -9.427 0.192 3.708
Ga -2.951 -0.986 2.400
Ga -6.821 2.087 3.809
Sn -5.424 -0.340 3.570
Sn -2.434 -1.554 -0.304
```

**VASP energy**: -40.89 eV for the cell shown
**Symmetry**: I-42d (122)
**DOS at the Fermi energy**: 3.07 states/eV/f.u.

=====

(13)
Material: GaReSn3
Method: DFT, PBE
State: optimized geometry

```
5
Lattice="-0.363 -3.641 -3.719 3.767 -2.756 2.331 -3.591 -2.523 2.821" Properties=species:S:1:pos:R:3 pbc="T T T"
Re 0.000 0.000 0.000
Sn -0.182 -1.821 -1.860
Sn 1.884 -1.378 1.165
Sn -1.796 -1.262 1.410
Ga -0.094 -4.460 0.716
```

**Symmetry**: Pm-3m (221)
**E above lowest polymorph**: 0.0 meV per atom
**DOS at the Fermi energy**: 5.20 states/eV/f.u.

=====

(14)
Material: GaReSn
Method: DFT, PBE
State: optimized geometry

```
6
Lattice="-0.879 4.633 -1.103 -3.918 -2.814 -0.431 0.501 -1.294 6.247" Properties=species:S:1:pos:R:3 pbc="T T T"
Re -3.975 -2.146 0.541
Re -0.321 2.671 4.172
Ga 0.250 -0.647 3.123
Ga -2.148 0.262 2.357
Sn -2.046 2.358 -0.151
Sn -2.250 -1.833 4.864
```

**VASP energy**: -37.18 eV for the cell shown
**Symmetry**: C2/m (12)
**DOS at the Fermi energy**: 0.76 states/eV/f.u.

=====

(15)
Material: GaRe2TcSn
Method: DFT, PBE
State: optimized geometry

```
5
Lattice="-3.903 -1.831 1.973 -0.789 -2.533 -3.912 2.572 -3.559 1.786" Properties=species:S:1:pos:R:3 pbc="T T T"
Re 1.286 -1.780 0.893
Re -1.951 -0.915 0.986
Tc 0.000 0.000 0.000
Sn -1.060 -3.962 -0.077
Ga -0.395 -1.266 -1.956
```

**VASP energy**: -35.27 eV for the cell shown
**Symmetry**: P4/mmm (123)
**DOS at the Fermi energy**: 7.42 states/eV/f.u.

=====

(16)
Material: SrGa3Re
Method: DFT, PBE
State: optimized geometry

```
5
Lattice="-0.873 -0.470 -4.789 -2.417 -4.166 0.850 -4.161 2.518 0.511" Properties=species:S:1:pos:R:3 pbc="T T T"
Re 0.000 0.000 0.000
Ga -1.208 -2.083 0.425
Ga -0.437 -0.235 -2.394
Ga -2.080 1.259 0.256
Sr -3.725 -1.059 -1.714
```

**Symmetry**: Pm-3m (221)
**E above lowest polymorph**: 0.0 meV per atom
**DOS at the Fermi energy**: 0.91 states/eV/f.u.

=====

(17)
Material: SrGa2Re2
Method: DFT, PBE
State: optimized geometry

```
10
Lattice="8.101 0.000 0.000 0.000 8.101 0.000 0.000 0.000 2.721" Properties=species:S:1:pos:R:3 pbc="T T T"
Re 5.017 7.135 1.360
Re 3.084 0.966 1.360
Re 0.966 5.017 1.360
Re 7.135 3.084 1.360
Ga 2.665 6.716 0.000
Ga 5.436 1.385 0.000
Ga 6.716 5.436 0.000
Ga 1.385 2.665 0.000
Sr 4.051 4.051 0.000
Sr 0.000 0.000 0.000
```

**Symmetry**: P4/mbm (127)
**E above lowest polymorph**: 202.2 meV per atom
**DOS at the Fermi energy**: 3.97 states/eV/f.u.

=====

(18)
Material: SrGaRe3
Method: DFT, PBE
State: optimized geometry

```
5
Lattice="-3.275 3.501 0.699 -1.001 -1.811 4.381 3.427 2.817 1.948" Properties=species:S:1:pos:R:3 pbc="T T T"
Ga -0.425 2.254 3.514
Re -0.501 -0.905 2.190
Re 1.713 1.409 0.974
Re -1.638 1.751 0.349
Sr 0.000 0.000 0.000
```

**Symmetry**: Pm-3m (221)
**E above lowest polymorph**: 2008.0 meV per atom
**DOS at the Fermi energy**: 6.46 states/eV/f.u.

=====

(19)
Material: SrGa3Re
Method: DFT, PBE
State: optimized geometry

```
5
Lattice="5.351 0.000 0.000 0.000 5.351 0.000 0.000 0.000 5.351" Properties=species:S:1:pos:R:3 pbc="T T T"
Ga 0.000 2.676 0.000
Ga 2.676 0.000 0.000
Ga 0.000 0.000 2.676
Re 2.676 2.676 2.676
Sr 0.000 0.000 0.000
```

**Symmetry**: Pm-3m (221)
**E above lowest polymorph**: 2577.6 meV per atom
**DOS at the Fermi energy**: 10.75 states/eV/f.u.

=====

(20)
Material: SrGa2Re2
Method: DFT, PBE
State: optimized geometry

```
5
Lattice="-0.997 -1.194 -3.624 0.565 -3.751 1.081 -6.090 -2.856 0.471" Properties=species:S:1:pos:R:3 pbc="T T T"
Re -3.651 -3.261 -2.213
Re -2.870 -4.540 0.140
Ga -5.015 -5.244 -1.184
Ga -1.507 -2.557 -0.889
Sr 0.000 0.000 0.000
```

**Symmetry**: I4/mmm (139)
**E above lowest polymorph**: 0.0 meV per atom
**DOS at the Fermi energy**: 4.18 states/eV/f.u.